First-principles (PBE-GGA) data for crystalline Y3Tm4Sc5 at its relaxed geometry, as listed in Alexandria.

Values from the calculation:
Symmetry: C2/m
DOS at the Fermi energy (states/eV/atom): 1.748
ΔH_f (0 K) (eV/atom): 0.2571

Unit cell a=5.6450 b=8.1837 c=8.9566 alpha=101.16 beta=71.63 gamma=69.82
Site moments in Bohr magnetons follow the coordinates.
Sites, in units of the cell vectors:
Y 0.5336 0.7030 0.2299  0.02
Y 0.0000 0.5000 0.5000  0.17
Y 0.4664 0.2970 0.7701  0.02
Tm 0.8549 0.2298 0.0604  0.02
Tm 0.1747 0.0303 0.6203  0.01
Tm 0.8253 0.9697 0.3797  0.01
Tm 0.1451 0.7702 0.9396  0.02
Sc 0.6459 0.9104 0.7978  0.01
Sc 0.5000 0.5000 0.5000  0.27
Sc 0.1842 0.4846 0.1469  0.04
Sc 0.8158 0.5154 0.8531  0.04
Sc 0.3541 0.0896 0.2022  0.01